Compound: ScCu2PtC
Source: Alexandria via LeMat-Bulk
Functional: GGA-PBEsol
Structure: relaxed

Crystal system: tetragonal
Density of states at the Fermi level, states/eV/cell: 3.0
ΔE_f, eV per formula unit: 12.08
M_tot, Bohr magnetons per cell: 0.51
V, A^3/atom: 19.70

a = 4.603 Å, b = 4.603 Å, c = 4.649 Å
α = 90.00°, β = 90.00°, γ = 90.00°
Fractional coordinates of all 5 atoms:
Sc (0.000, 0.000, 0.000)
Cu (0.000, 0.500, 0.000)
Cu (0.500, 0.000, 0.000)
Pt (0.000, 0.000, 0.500)
C (0.500, 0.500, 0.500)

Compound: Ta5Os
Source: Alexandria via LeMat-Bulk
Functional: GGA-PBEsol
Structure: relaxed

Crystal system: monoclinic
Density of states at the Fermi level, states/eV/cell: 8.8
ΔE_f, eV per formula unit: -1.28
M_tot, Bohr magnetons per cell: 0.00
Distance to the lowest polymorph of the same formula, meV per atom: 0.0
V, A^3/atom: 16.83

a = 10.261 Å, b = 3.222 Å, c = 6.459 Å
α = 90.00°, β = 109.01°, γ = 90.00°
Fractional coordinates of all 12 atoms:
Ta (0.000, 0.000, 0.000)
Ta (0.164, 0.500, 0.336)
Ta (0.164, 0.500, 0.828)
Ta (0.336, 0.000, 0.172)
Ta (0.336, 0.000, 0.664)
Ta (0.500, 0.500, 0.000)
Ta (0.664, 0.000, 0.336)
Ta (0.664, 0.000, 0.828)
Ta (0.836, 0.500, 0.172)
Ta (0.836, 0.500, 0.664)
Os (0.000, 0.000, 0.500)
Os (0.500, 0.500, 0.500)

Compound: SrMgAl2
Source: Alexandria via LeMat-Bulk
Functional: GGA-PBEsol
Structure: relaxed

Crystal system: tetragonal
Density of states at the Fermi level, states/eV/cell: 1.3
ΔE_f, eV per formula unit: -0.29
M_tot, Bohr magnetons per cell: 0.00
V, A^3/atom: 23.66

a = 3.568 Å, b = 3.568 Å, c = 7.434 Å
α = 90.00°, β = 90.00°, γ = 90.00°
Fractional coordinates of all 4 atoms:
Sr (0.000, 0.000, 0.000)
Mg (0.000, 0.000, 0.500)
Al (0.500, 0.500, 0.305)
Al (0.500, 0.500, 0.695)

Compound: Mg2AlSb
Source: Alexandria via LeMat-Bulk
Functional: GGA-PBEsol
Structure: relaxed

Crystal system: orthorhombic
Density of states at the Fermi level, states/eV/cell: 3.2
M_tot, Bohr magnetons per cell: 0.00
Distance to the lowest polymorph of the same formula, meV per atom: 22.3
Formation energy (no corrections), eV/atom: -0.049
V, A^3/atom: 21.48

a = 6.201 Å, b = 8.465 Å, c = 3.274 Å
α = 90.00°, β = 90.00°, γ = 90.00°
Fractional coordinates of all 8 atoms:
Mg (0.250, 0.250, 0.000)
Mg (0.250, 0.750, 0.000)
Mg (0.750, 0.250, 0.000)
Mg (0.750, 0.750, 0.000)
Al (0.000, 0.000, 0.500)
Al (0.500, 0.500, 0.500)
Sb (0.000, 0.500, 0.500)
Sb (0.500, 0.000, 0.500)

Compound: KTc2Te
Source: Alexandria via LeMat-Bulk
Functional: GGA-PBEsol
Structure: relaxed

Crystal system: tetragonal
Density of states at the Fermi level, states/eV/cell: 3.7
M_tot, Bohr magnetons per cell: 0.00
Formation energy (no corrections), eV/atom: 0.442
V, A^3/atom: 21.15

a = 3.059 Å, b = 3.059 Å, c = 9.039 Å
α = 90.00°, β = 90.00°, γ = 90.00°
Fractional coordinates of all 4 atoms:
K (0.000, 0.000, 0.000)
Tc (0.000, 0.000, 0.449)
Tc (0.500, 0.500, 0.303)
Te (0.500, 0.500, 0.680)

Compound: Li2ZnCo
Source: Alexandria via LeMat-Bulk
Functional: GGA-PBEsol
Structure: relaxed

Crystal system: orthorhombic
Density of states at the Fermi level, states/eV/cell: 3.2
ΔE_f, eV per formula unit: 0.23
M_tot, Bohr magnetons per cell: 1.73
V, A^3/atom: 12.26

a = 2.616 Å, b = 4.243 Å, c = 8.834 Å
α = 90.00°, β = 90.00°, γ = 90.00°
Fractional coordinates of all 8 atoms:
Li (0.000, 0.000, 0.247)
Li (0.000, 0.000, 0.753)
Li (0.500, 0.500, 0.253)
Li (0.500, 0.500, 0.747)
Zn (0.000, 0.500, 0.000)
Zn (0.500, 0.000, 0.500)
Co (0.000, 0.500, 0.500)
Co (0.500, 0.000, 0.000)